A plane-wave DFT calculation with SCAN was carried out for a crystal of Ta2OsPd2 relaxed with PBEsol.

Lattice parameters (Å, degrees): 3.8223 3.8223 6.4397 107.26 107.26 90.00
Last column: magnetic moment on the atom in μB.
Atoms (fractional coordinates):
Ta 0.7500 0.2500 0.5000  -0.07
Ta 0.2500 0.7500 0.5000  -0.07
Pd 0.3997 0.3997 0.7994  0.03
Pd 0.6003 0.6003 0.2006  0.03
Os 0.0000 0.0000 0.0000  1.23

Properties
Symmetry ... I4/mmm
Energy relative to the elements ... 0.777 eV/atom
DOS at the Fermi energy ... 4.86 states/eV per cell

---

A plane-wave DFT calculation with SCAN was carried out for a crystal of TaOs3Pd relaxed with PBEsol.

Lattice parameters (Å, degrees): 4.6582 4.6582 4.6582 90.00 90.00 90.00
Last column: magnetic moment on the atom in μB.
Atoms (fractional coordinates):
Os 0.0000 0.5000 0.0000  0.51
Os 0.5000 0.0000 0.0000  0.51
Os 0.0000 0.0000 0.5000  0.51
Ta 0.0000 0.0000 0.0000  -0.05
Pd 0.5000 0.5000 0.5000  0.33

Properties
Symmetry ... Pm-3m
Energy relative to the elements ... 2.354 eV/atom
DOS at the Fermi energy ... 4.34 states/eV per cell

---

A plane-wave DFT calculation with SCAN was carried out for a crystal of Te2OsPd relaxed with PBEsol.

Lattice parameters (Å, degrees): 3.1045 3.1045 9.6421 80.74 80.74 60.00
Atoms (fractional coordinates):
Te 0.9109 0.9109 0.2673
Te 0.0891 0.0891 0.7327
Os 0.0000 0.0000 0.0000
Pd 0.5000 0.5000 0.5000

Properties
ΔE_f (raw) ... 0.71 eV/atom
Symmetry ... R-3m
DOS at the Fermi energy ... 2.86 states/eV per cell

---

A plane-wave DFT calculation with SCAN was carried out for a crystal of Te2OsPd2 relaxed with PBEsol.

Lattice parameters (Å, degrees): 3.5467 3.5467 7.9129 102.95 102.95 90.00
Last column: magnetic moment on the atom in μB.
Atoms (fractional coordinates):
Pd 0.2500 0.7500 0.5000  0.02
Pd 0.7500 0.2500 0.5000  0.02
Te 0.6046 0.6046 0.2092  0.02
Te 0.3954 0.3954 0.7908  0.02
Os 0.0000 0.0000 0.0000  0.67

Properties
ΔE_f (raw) ... 0.52 eV/atom
Symmetry ... I4/mmm
DOS at the Fermi energy ... 2.76 states/eV per cell

---

A plane-wave DFT calculation with SCAN was carried out for a crystal of Pr3Os relaxed with PBEsol.

Lattice parameters (Å, degrees): 6.4361 7.4275 9.5982 90.00 90.00 90.00
Atoms (fractional coordinates):
Pr 0.3316 0.6759 0.4347
Pr 0.6684 0.3241 0.5653
Pr 0.1684 0.1759 0.4347
Pr 0.8316 0.8241 0.9347
Pr 0.8316 0.8241 0.5653
Pr 0.3316 0.6759 0.0653
Pr 0.1684 0.1759 0.0653
Pr 0.6403 0.0405 0.2500
Pr 0.1403 0.4595 0.7500
Pr 0.8597 0.5405 0.2500
Pr 0.3597 0.9595 0.7500
Pr 0.6684 0.3241 0.9347
Os 0.4439 0.3856 0.2500
Os 0.0561 0.8856 0.2500
Os 0.5561 0.6144 0.7500
Os 0.9439 0.1144 0.7500

Properties
Symmetry ... Pnma
Energy relative to the elements ... -0.160 eV/atom
DOS at the Fermi energy ... 14.08 states/eV per cell

---

A plane-wave DFT calculation with SCAN was carried out for a crystal of PrSb12Os4 relaxed with PBEsol.

Lattice parameters (Å, degrees): 8.0570 8.0570 8.0570 109.47 109.47 109.47
Atoms (fractional coordinates):
Os 0.0000 0.5000 0.0000
Os 0.0000 0.0000 0.5000
Os 0.5000 0.0000 0.0000
Os 0.5000 0.5000 0.5000
Sb 0.1572 0.8174 0.6602
Sb 0.1572 0.4970 0.3398
Sb 0.6602 0.8428 0.5030
Sb 0.8428 0.1826 0.3398
Sb 0.3398 0.8428 0.1826
Sb 0.5030 0.6602 0.8428
Sb 0.8428 0.5030 0.6602
Sb 0.1826 0.3398 0.8428
Sb 0.8174 0.6602 0.1572
Sb 0.3398 0.1572 0.4970
Sb 0.6602 0.1572 0.8174
Sb 0.4970 0.3398 0.1572
Pr 0.0000 0.0000 0.0000

Properties
ΔE_f (raw) ... -0.27 eV/atom
Symmetry ... Im-3
DOS at the Fermi energy ... 11.72 states/eV per cell

---

A plane-wave DFT calculation with SCAN was carried out for a crystal of PrSi2Os2 relaxed with PBEsol.

Lattice parameters (Å, degrees): 4.1680 4.1680 5.7514 111.24 111.24 90.00
Atoms (fractional coordinates):
Os 0.2500 0.7500 0.5000
Os 0.7500 0.2500 0.5000
Si 0.3687 0.3687 0.7374
Si 0.6313 0.6313 0.2626
Pr 0.0000 0.0000 0.0000

Properties
ΔE_f (raw) ... -0.77 eV/atom
Symmetry ... I4/mmm
DOS at the Fermi energy ... 2.50 states/eV per cell

---

A plane-wave DFT calculation with SCAN was carried out for a crystal of Os2Pt relaxed with PBEsol.

Lattice parameters (Å, degrees): 2.7369 4.3634 7.3085 90.00 100.79 90.00
Atoms (fractional coordinates):
Pt 0.2184 0.7500 0.4368
Pt 0.7816 0.2500 0.5632
Os 0.4483 0.2500 0.8966
Os 0.8930 0.7500 0.7860
Os 0.5517 0.7500 0.1034
Os 0.1070 0.2500 0.2140

Properties
Symmetry ... Cmcm
Distance to the lowest polymorph of the same formula ... 0 meV per atom
Energy relative to the elements ... 0.072 eV/atom
DOS at the Fermi energy ... 3.24 states/eV per cell

---

A plane-wave DFT calculation with SCAN was carried out for a crystal of Os4Pt5 relaxed with PBEsol.

Lattice parameters (Å, degrees): 3.8465 6.1403 6.1403 84.37 71.75 71.75
Atoms (fractional coordinates):
Pt 0.6701 0.0000 0.6598
Pt 0.6701 0.6598 0.0000
Pt 0.3299 0.0000 0.3402
Pt 0.0000 0.0000 0.0000
Pt 0.3299 0.3402 0.0000
Os 0.6546 0.3454 0.3454
Os 0.3454 0.6546 0.6546
Os 0.0000 0.6546 0.3454
Os 0.0000 0.3454 0.6546

Properties
Symmetry ... I4/mmm
Energy relative to the elements ... 0.092 eV/atom
DOS at the Fermi energy ... 7.00 states/eV per cell

---

A plane-wave DFT calculation with SCAN was carried out for a crystal of OsPt2 relaxed with PBEsol.

Lattice parameters (Å, degrees): 2.7359 2.7359 6.1752 102.80 102.80 90.00
Atoms (fractional coordinates):
Pt 0.6601 0.6601 0.3201
Pt 0.3399 0.3399 0.6799
Os 0.0000 0.0000 0.0000

Properties
Symmetry ... I4/mmm
Distance to the lowest polymorph of the same formula ... 0 meV per atom
Energy relative to the elements ... 0.103 eV/atom
DOS at the Fermi energy ... 2.60 states/eV per cell

---

A plane-wave DFT calculation with SCAN was carried out for a crystal of OsPt relaxed with PBEsol.

Lattice parameters (Å, degrees): 2.7219 2.7219 7.8323 90.00 90.00 90.00
Atoms (fractional coordinates):
Os 0.5000 0.0000 0.8862
Os 0.0000 0.5000 0.1138
Pt 0.0000 0.5000 0.6331
Pt 0.5000 0.0000 0.3669

Properties
Symmetry ... P4/nmm
Energy relative to the elements ... 0.041 eV/atom
DOS at the Fermi energy ... 3.13 states/eV per cell

---

A plane-wave DFT calculation with SCAN was carried out for a crystal of OsPt2 relaxed with PBEsol.

Lattice parameters (Å, degrees): 2.6272 4.4262 4.4262 120.00 90.00 90.00
Atoms (fractional coordinates):
Os 0.0000 0.0000 0.0000
Pt 0.4999 0.3333 0.6667
Pt 0.5001 0.6667 0.3333

Properties
Symmetry ... P6/mmm
Distance to the lowest polymorph of the same formula ... 294 meV per atom
Energy relative to the elements ... 0.396 eV/atom
DOS at the Fermi energy ... 2.94 states/eV per cell